1.
The following is a DFT calculation (PBE) of a geometry-optimized FeReGeMo structure.

abc: 4.2901 4.2901 4.2901
angles: 60.00 60.00 60.00
With the nearest neighbours (Å) after each atom.
Atoms (fractional coordinates):
Mo 0.5000 0.5000 0.5000  4 Fe 2.63, 4 Re 2.63
Re 0.2500 0.2500 0.2500  4 Ge 2.63, 4 Mo 2.63
Ge 0.0000 0.0000 0.0000  4 Fe 2.63, 4 Re 2.63
Fe 0.7500 0.7500 0.7500  4 Mo 2.63, 4 Ge 2.63

The total energy comes out at -35.5 eV per cell.


2.
The following is a DFT calculation (PBE) of a geometry-optimized SiTc2Ag3 structure.

abc: 3.5080 3.5080 8.2042
angles: 90.00 90.00 90.00
With the nearest neighbours (Å) after each atom.
Atoms (fractional coordinates):
Ag 0.5000 0.0000 0.5919  5 Tc 2.82-2.85, 4 Ag 2.90
Ag 0.5000 0.5000 0.0000  4 Si 2.48, 4 Tc 2.67
Ag 0.0000 0.5000 0.4081  5 Tc 2.82-2.85, 4 Ag 2.90
Tc 0.5000 0.0000 0.2451  7 Ag 2.67-2.85, 2 Si 2.67
Tc 0.0000 0.5000 0.7549  2 Si 2.67, 7 Ag 2.67-2.85
Si 0.0000 0.0000 0.0000  4 Ag 2.48, 4 Tc 2.67

The total energy comes out at -29.9 eV per cell.


3.
The following is a DFT calculation (PBE) of a geometry-optimized PrBi2Pd2 structure.

abc: 4.8359 4.8359 6.3649
angles: 90.00 90.00 120.00
With the nearest neighbours (Å) after each atom.
Atoms (fractional coordinates):
Pd 0.6667 0.3333 0.7586  4 Bi 2.82-2.93
Pd 0.3333 0.6667 0.2414  4 Bi 2.82-2.93
Pr 0.0000 0.0000 0.0000  6 Pd 3.19, 6 Bi 3.37
Bi 0.3333 0.6667 0.7021  4 Pd 2.82-2.93
Bi 0.6667 0.3333 0.2979  4 Pd 2.82-2.93

The total energy comes out at -25.9 eV per cell.


4.
The following is a DFT calculation (PBE) of a geometry-optimized Cu7PSe6 structure.

abc: 10.1053 10.1053 10.1053
angles: 90.00 90.00 90.00
With the nearest neighbours (Å) after each atom.
Atoms (fractional coordinates):
Cu 0.5721 0.1042 0.7271  4 Se 2.43-2.64
Cu 0.9990 0.0239 0.7817  3 Se 2.41-2.45
Cu 0.0721 0.3958 0.2729  4 Se 2.43-2.64
Cu 0.4279 0.6042 0.7729  4 Se 2.43-2.64
Cu 0.7817 0.9990 0.0239  3 Se 2.41-2.45
Cu 0.5239 0.7183 0.0010  3 Se 2.41-2.45
Cu 0.3460 0.8460 0.6540  2 Se 2.28-2.34
Cu 0.2271 0.9279 0.8958  4 Se 2.43-2.64
Cu 0.9279 0.8958 0.2271  4 Se 2.43-2.64
Cu 0.4761 0.2183 0.4990  3 Se 2.41-2.45
Cu 0.9761 0.2817 0.5010  3 Se 2.41-2.45
Cu 0.2183 0.4990 0.4761  3 Se 2.41-2.45
Cu 0.0239 0.7817 0.9990  3 Se 2.41-2.45
Cu 0.7183 0.0010 0.5239  3 Se 2.41-2.45
Cu 0.6540 0.3460 0.8460  2 Se 2.28-2.34
Cu 0.1540 0.1540 0.1540  2 Se 2.28-2.34
Cu 0.0010 0.5239 0.7183  3 Se 2.41-2.45
Cu 0.2729 0.0721 0.3958  4 Se 2.43-2.64
Cu 0.7729 0.4279 0.6042  4 Se 2.43-2.64
Cu 0.5010 0.9761 0.2817  3 Se 2.41-2.45
Cu 0.4990 0.4761 0.2183  3 Se 2.41-2.45
Cu 0.8460 0.6540 0.3460  2 Se 2.28-2.34
Cu 0.7271 0.5721 0.1042  4 Se 2.43-2.64
Cu 0.8958 0.2271 0.9279  4 Se 2.43-2.64
Cu 0.3958 0.2729 0.0721  4 Se 2.43-2.64
Cu 0.6042 0.7729 0.4279  4 Se 2.43-2.64
Cu 0.1042 0.7271 0.5721  4 Se 2.43-2.64
Cu 0.2817 0.5010 0.9761  3 Se 2.41-2.45
Se 0.5204 0.4796 0.9796  7 Cu 2.34-2.61
Se 0.4796 0.9796 0.5204  7 Cu 2.34-2.61
Se 0.8720 0.6297 0.8949  1 P 2.23, 2 Cu 2.41-2.45
Se 0.1051 0.3720 0.8703  1 P 2.23, 2 Cu 2.41-2.45
Se 0.1270 0.8730 0.3730  1 P 2.26, 3 Cu 2.50
Se 0.3949 0.6280 0.3703  1 P 2.23, 2 Cu 2.41-2.45
Se 0.6297 0.8949 0.8720  1 P 2.23, 2 Cu 2.41-2.45
Se 0.1297 0.6051 0.1280  1 P 2.23, 2 Cu 2.41-2.45
Se 0.8730 0.3730 0.1270  1 P 2.26, 3 Cu 2.50
Se 0.3730 0.1270 0.8730  1 P 2.26, 3 Cu 2.50
Se 0.2157 0.7157 0.7843  4 Cu 2.28-2.43
Se 0.2843 0.2843 0.2843  4 Cu 2.28-2.43
Se 0.6270 0.6270 0.6270  1 P 2.26, 3 Cu 2.50
Se 0.3703 0.3949 0.6280  1 P 2.23, 2 Cu 2.41-2.45
Se 0.9796 0.5204 0.4796  7 Cu 2.34-2.61
Se 0.7843 0.2157 0.7157  4 Cu 2.28-2.43
Se 0.1280 0.1297 0.6051  1 P 2.23, 2 Cu 2.41-2.45
Se 0.3720 0.8703 0.1051  1 P 2.23, 2 Cu 2.41-2.45
Se 0.6280 0.3703 0.3949  1 P 2.23, 2 Cu 2.41-2.45
Se 0.8949 0.8720 0.6297  1 P 2.23, 2 Cu 2.41-2.45
Se 0.6051 0.1280 0.1297  1 P 2.23, 2 Cu 2.41-2.45
Se 0.8703 0.1051 0.3720  1 P 2.23, 2 Cu 2.41-2.45
Se 0.0204 0.0204 0.0204  7 Cu 2.34-2.61
Se 0.7157 0.7843 0.2157  4 Cu 2.28-2.43
P 0.2437 0.2563 0.7437  4 Se 2.23-2.26
P 0.7437 0.2437 0.2563  4 Se 2.23-2.26
P 0.2563 0.7437 0.2437  4 Se 2.23-2.26
P 0.7563 0.7563 0.7563  4 Se 2.23-2.26

The total energy comes out at -213.5 eV per cell.


5.
The following is a DFT calculation (PBE) of a geometry-optimized Sb2Mo structure.

abc: 5.9790 5.9790 5.9790
angles: 60.00 60.00 60.00
With the nearest neighbours (Å) after each atom.
Atoms (fractional coordinates):
Sb 0.6250 0.6250 0.6250  6 Sb 2.99
Sb 0.6250 0.1250 0.6250  6 Sb 2.99
Sb 0.1250 0.6250 0.6250  6 Sb 2.99
Sb 0.6250 0.6250 0.1250  6 Sb 2.99
Mo 0.0000 0.0000 0.0000  12 Sb 3.51, 4 Mo 3.66
Mo 0.2500 0.2500 0.2500  12 Sb 3.51, 4 Mo 3.66

The total energy comes out at -29.9 eV per cell.


6.
The following is a DFT calculation (PBE) of a geometry-optimized Nb5Re24 structure.

abc: 8.3822 8.3822 8.3822
angles: 109.47 109.47 109.47
With the nearest neighbours (Å) after each atom.
Atoms (fractional coordinates):
Re 0.6006 0.6006 0.2828  7 Re 2.57-2.85, 1 Nb 2.73
Re 0.0000 0.6822 0.3994  7 Re 2.57-2.85, 1 Nb 2.73
Re 0.2828 0.6006 0.6006  7 Re 2.57-2.85, 1 Nb 2.73
Re 0.3178 0.7172 0.3178  7 Re 2.57-2.85, 1 Nb 2.73
Re 0.8057 0.1824 0.8057  6 Re 2.50-2.73
Re 0.6234 0.6234 0.8176  6 Re 2.50-2.73
Re 0.3994 0.6822 0.0000  7 Re 2.57-2.85, 1 Nb 2.73
Re 0.3766 0.1943 0.0000  6 Re 2.50-2.73
Re 0.1824 0.8057 0.8057  6 Re 2.50-2.73
Re 0.3178 0.3178 0.7172  7 Re 2.57-2.85, 1 Nb 2.73
Re 0.1943 0.3766 0.0000  6 Re 2.50-2.73
Re 0.3766 0.0000 0.1943  6 Re 2.50-2.73
Re 0.6822 0.3994 0.0000  7 Re 2.57-2.85, 1 Nb 2.73
Re 0.0000 0.1943 0.3766  6 Re 2.50-2.73
Re 0.1943 0.0000 0.3766  6 Re 2.50-2.73
Re 0.6006 0.2828 0.6006  7 Re 2.57-2.85, 1 Nb 2.73
Re 0.0000 0.3994 0.6822  7 Re 2.57-2.85, 1 Nb 2.73
Re 0.8057 0.8057 0.1824  6 Re 2.50-2.73
Re 0.8176 0.6234 0.6234  6 Re 2.50-2.73
Re 0.6822 0.0000 0.3994  7 Re 2.57-2.85, 1 Nb 2.73
Re 0.6234 0.8176 0.6234  6 Re 2.50-2.73
Re 0.3994 0.0000 0.6822  7 Re 2.57-2.85, 1 Nb 2.73
Re 0.7172 0.3178 0.3178  7 Re 2.57-2.85, 1 Nb 2.73
Re 0.0000 0.3766 0.1943  6 Re 2.50-2.73
Nb 0.0000 0.0000 0.6343  9 Re 2.73-2.97
Nb 0.3657 0.3657 0.3657  9 Re 2.73-2.97
Nb 0.6343 0.0000 0.0000  9 Re 2.73-2.97
Nb 0.0000 0.6343 0.0000  9 Re 2.73-2.97
Nb 0.0000 0.0000 0.0000  12 Re 3.03, 4 Nb 3.07

The total energy comes out at -352.6 eV per cell. The calculation puts the formation enthalpy at 0 K at -0.1366 eV per atom.


7.
The following is a DFT calculation (PBE) of a geometry-optimized SrSc2Ir structure.

abc: 5.0144 5.0144 5.0144
angles: 60.00 60.00 60.00
With the nearest neighbours (Å) after each atom.
Atoms (fractional coordinates):
Sc 0.2500 0.2500 0.2500  4 Ir 3.07, 4 Sc 3.07
Sc 0.0000 0.0000 0.0000  4 Sc 3.07, 4 Sr 3.07
Ir 0.5000 0.5000 0.5000  4 Sc 3.07, 4 Sr 3.07
Sr 0.7500 0.7500 0.7500  4 Sc 3.07, 4 Ir 3.07

The total energy comes out at -22.8 eV per cell.


8.
The following is a DFT calculation (PBE) of a geometry-optimized KAgPdSeS2 structure.

abc: 7.7157 7.7157 10.4134
angles: 90.00 90.00 152.15
With the nearest neighbours (Å) after each atom.
Atoms (fractional coordinates):
K 0.7363 0.2637 0.7500  2 Se 3.29, 2 Ag 3.37, 2 S 3.43
K 0.2637 0.7363 0.2500  2 Se 3.29, 2 Ag 3.37, 2 S 3.43
S 0.3945 0.6055 0.5202  1 Ag 2.43, 2 Pd 2.45
S 0.6055 0.3945 0.0202  1 Ag 2.43, 2 Pd 2.45
S 0.6055 0.3945 0.4798  1 Ag 2.43, 2 Pd 2.45
S 0.3945 0.6055 0.9798  1 Ag 2.43, 2 Pd 2.45
Pd 0.0000 0.0000 0.5000  4 S 2.45, 2 Se 2.73
Pd 0.0000 0.0000 0.0000  4 S 2.45, 2 Se 2.73
Ag 0.4238 0.5762 0.7500  2 S 2.43, 2 Se 2.71
Ag 0.5762 0.4238 0.2500  2 S 2.43, 2 Se 2.71
Se 0.0552 0.9448 0.7500  2 Ag 2.71, 2 Pd 2.73
Se 0.9448 0.0552 0.2500  2 Ag 2.71, 2 Pd 2.73

The total energy comes out at -45.5 eV per cell.


9.
The following is a DFT calculation (PBE) of a geometry-optimized YCuBOs structure.

abc: 4.4622 4.4622 4.4622
angles: 60.00 60.00 60.00
With the nearest neighbours (Å) after each atom.
Atoms (fractional coordinates):
Y 0.2500 0.2500 0.2500  4 B 2.73, 4 Os 2.73
B 0.0000 0.0000 0.0000  4 Y 2.73, 4 Cu 2.73
Os 0.5000 0.5000 0.5000  4 Y 2.73, 4 Cu 2.73
Cu 0.7500 0.7500 0.7500  4 B 2.73, 4 Os 2.73

The total energy comes out at -24.5 eV per cell.


10.
The following is a DFT calculation (PBE) of a geometry-optimized SnPPdO structure.

abc: 3.9494 3.9494 9.4899
angles: 90.00 90.00 90.00
With the nearest neighbours (Å) after each atom.
Atoms (fractional coordinates):
O 0.0000 0.0000 0.0000  4 Sn 2.28
O 0.5000 0.5000 0.0000  4 Sn 2.28
Sn 0.5000 0.0000 0.8802  4 O 2.28
Sn 0.0000 0.5000 0.1198  4 O 2.28
P 0.5000 0.0000 0.3602  4 Pd 2.38
P 0.0000 0.5000 0.6398  4 Pd 2.38
Pd 0.0000 0.0000 0.5000  4 P 2.38
Pd 0.5000 0.5000 0.5000  4 P 2.38

The total energy comes out at -44.4 eV per cell.


11.
The following is a DFT calculation (PBE) of a geometry-optimized GdHoCd6 structure.

abc: 5.0599 5.0599 7.1616
angles: 90.00 90.00 90.00
With the nearest neighbours (Å) after each atom.
Atoms (fractional coordinates):
Ho 0.5000 0.5000 0.5000  8 Cd 3.09
Cd 0.0000 0.5000 0.7479  4 Cd 3.09-3.11, 2 Ho 3.09, 2 Gd 3.11
Cd 0.5000 0.5000 0.0000  8 Cd 3.11
Cd 0.5000 0.0000 0.2521  4 Cd 3.09-3.11, 2 Ho 3.09, 2 Gd 3.11
Cd 0.5000 0.0000 0.7479  4 Cd 3.09-3.11, 2 Ho 3.09, 2 Gd 3.11
Cd 0.0000 0.0000 0.5000  8 Cd 3.09
Cd 0.0000 0.5000 0.2521  4 Cd 3.09-3.11, 2 Ho 3.09, 2 Gd 3.11
Gd 0.0000 0.0000 0.0000  8 Cd 3.11

The total energy comes out at -16.9 eV per cell. The calculation puts the formation enthalpy at 0 K at -0.2830 eV per atom.


12.
The following is a DFT calculation (PBE) of a geometry-optimized Hf2ReOs structure.

abc: 4.6076 6.5170 13.8271
angles: 90.00 90.00 90.00
With the nearest neighbours (Å) after each atom.
Atoms (fractional coordinates):
Hf 0.0000 0.2500 0.5000  4 Re 2.82, 4 Os 2.82
Hf 0.5000 0.2500 0.3333  4 Re 2.82, 4 Os 2.82
Hf 0.0000 0.7500 0.1667  4 Re 2.82, 4 Os 2.82
Hf 0.0000 0.7500 0.5000  4 Re 2.82, 4 Os 2.82
Hf 0.5000 0.7500 0.0000  4 Re 2.82, 4 Os 2.82
Hf 0.0000 0.7500 0.8333  4 Re 2.82, 4 Os 2.82
Hf 0.5000 0.2500 0.0000  4 Re 2.82, 4 Os 2.82
Hf 0.5000 0.7500 0.3333  4 Re 2.82, 4 Os 2.82
Hf 0.0000 0.2500 0.8333  4 Re 2.82, 4 Os 2.82
Hf 0.5000 0.7500 0.6667  4 Re 2.82, 4 Os 2.82
Hf 0.5000 0.2500 0.6667  4 Re 2.82, 4 Os 2.82
Hf 0.0000 0.2500 0.1667  4 Re 2.82, 4 Os 2.82
Re 0.5000 0.0000 0.1667  8 Hf 2.82
Re 0.0000 0.5000 0.6667  8 Hf 2.82
Re 0.0000 0.5000 0.3333  8 Hf 2.82
Re 0.0000 0.5000 0.0000  8 Hf 2.82
Re 0.5000 0.0000 0.8333  8 Hf 2.82
Re 0.5000 0.0000 0.5000  8 Hf 2.82
Os 0.5000 0.5000 0.5000  8 Hf 2.82
Os 0.5000 0.5000 0.8333  8 Hf 2.82
Os 0.0000 0.0000 0.0000  8 Hf 2.82
Os 0.5000 0.5000 0.1667  8 Hf 2.82
Os 0.0000 0.0000 0.3333  8 Hf 2.82
Os 0.0000 0.0000 0.6667  8 Hf 2.82

The total energy comes out at -273.6 eV per cell. The calculation puts the formation enthalpy at 0 K at -0.5117 eV per atom.


13.
The following is a DFT calculation (PBE) of a geometry-optimized SmErW structure.

abc: 4.8654 4.8654 4.8654
angles: 60.00 60.00 60.00
With the nearest neighbours (Å) after each atom.
Atoms (fractional coordinates):
Er 0.2500 0.2500 0.2500  4 Sm 2.98
Sm 0.0000 0.0000 0.0000  4 W 2.98, 4 Er 2.98
W 0.7500 0.7500 0.7500  4 Sm 2.98

The total energy comes out at -17.8 eV per cell. The calculation puts the formation enthalpy at 0 K at 1.4830 eV per atom.


14.
The following is a DFT calculation (PBE) of a geometry-optimized CsAgOsSe3 structure.

abc: 8.7520 3.9263 10.3019
angles: 90.00 113.35 90.00
With the nearest neighbours (Å) after each atom.
Atoms (fractional coordinates):
Se 0.0210 0.2500 0.3853  3 Os 2.53-2.55
Se 0.9790 0.7500 0.6147  3 Os 2.53-2.55
Se 0.7672 0.7500 0.0911  1 Os 2.50, 3 Ag 2.75-2.76
Se 0.3530 0.7500 0.6232  1 Ag 2.57, 2 Os 2.58
Se 0.2328 0.2500 0.9089  1 Os 2.50, 3 Ag 2.75-2.76
Se 0.6470 0.2500 0.3768  1 Ag 2.57, 2 Os 2.58
Ag 0.5560 0.2500 0.1071  4 Se 2.57-2.76, 2 Ag 2.82
Ag 0.4440 0.7500 0.8929  4 Se 2.57-2.76, 2 Ag 2.82
Os 0.1774 0.2500 0.6512  6 Se 2.50-2.58
Os 0.8226 0.7500 0.3488  6 Se 2.50-2.58
Cs 0.2508 0.7500 0.2288  8 Se 3.61-3.89, 2 Ag 3.90, 2 Cs 3.93
Cs 0.7492 0.2500 0.7712  8 Se 3.61-3.89, 2 Ag 3.90, 2 Cs 3.93

The total energy comes out at -54.2 eV per cell.


15.
The following is a DFT calculation (PBE) of a geometry-optimized RbTlCd structure.

abc: 5.6475 5.6475 5.6475
angles: 60.00 60.00 60.00
With the nearest neighbours (Å) after each atom.
Atoms (fractional coordinates):
Rb 0.2500 0.2500 0.2500  4 Cd 3.46
Tl 0.7500 0.7500 0.7500  4 Cd 3.46
Cd 0.0000 0.0000 0.0000  4 Tl 3.46, 4 Rb 3.46

The total energy comes out at -3.9 eV per cell.


16.
The following is a DFT calculation (PBE) of a geometry-optimized SmIn structure.

abc: 4.4899 4.4899 4.4899
angles: 60.00 60.00 60.00
With the nearest neighbours (Å) after each atom.
Atoms (fractional coordinates):
In 0.0000 0.0000 0.0000  6 Sm 3.17
Sm 0.5000 0.5000 0.5000  6 In 3.17

The total energy comes out at -7.7 eV per cell.


17.
The following is a DFT calculation (PBE) of a geometry-optimized UPbW structure.

abc: 4.7335 4.7335 4.7335
angles: 60.00 60.00 60.00
With the nearest neighbours (Å) after each atom.
Atoms (fractional coordinates):
Pb 0.0000 0.0000 0.0000  4 W 2.90
U 0.5000 0.5000 0.5000  4 W 2.90
W 0.2500 0.2500 0.2500  4 U 2.90, 4 Pb 2.90

The total energy comes out at -25.0 eV per cell.


18.
The following is a DFT calculation (PBE) of a geometry-optimized Nd3HgO structure.

abc: 4.9495 4.9495 4.9495
angles: 90.00 90.00 90.00
With the nearest neighbours (Å) after each atom.
Atoms (fractional coordinates):
Nd 0.5000 0.0000 0.0000  2 O 2.47
Nd 0.0000 0.0000 0.5000  2 O 2.47
Nd 0.0000 0.5000 0.0000  2 O 2.47
O 0.0000 0.0000 0.0000  6 Nd 2.47
Hg 0.5000 0.5000 0.5000  12 Nd 3.50

The total energy comes out at -26.2 eV per cell.


19.
The following is a DFT calculation (PBE) of a geometry-optimized Nd2Sm2CI2Cl3 structure.

abc: 9.5973 9.5973 8.1021
angles: 101.14 101.14 23.53
With the nearest neighbours (Å) after each atom.
Atoms (fractional coordinates):
Nd 0.3632 0.3632 0.9249  1 C 2.52
Nd 0.6368 0.6368 0.0751  1 C 2.52
Cl 0.1483 0.1483 0.3313  1 Sm 2.80, 2 Nd 2.83
Cl 0.8517 0.8517 0.6687  1 Sm 2.80, 2 Nd 2.83
Cl 0.5000 0.5000 0.5000  4 Sm 3.05
I 0.8275 0.8275 0.2057  3 Nd 3.17-3.53, 1 Sm 3.20
I 0.1725 0.1725 0.7943  3 Nd 3.17-3.53, 1 Sm 3.20
Sm 0.0017 0.0017 0.7892  2 C 2.60, 1 Cl 2.80
Sm 0.9983 0.9983 0.2108  2 C 2.60, 1 Cl 2.80
C 0.5000 0.5000 0.0000  2 Nd 2.52, 4 Sm 2.60

The total energy comes out at -51.4 eV per cell.


20.
The following is a DFT calculation (PBE) of a geometry-optimized Li4MgSiAu2 structure.

abc: 4.3781 4.3781 6.3040
angles: 90.00 90.00 90.00
With the nearest neighbours (Å) after each atom.
Atoms (fractional coordinates):
Li 0.0000 0.5000 0.2723  2 Si 2.62, 4 Li 2.62-2.78, 2 Mg 2.78, 1 Au 2.88
Li 0.0000 0.0000 0.5000  4 Li 2.62, 4 Au 2.62
Li 0.5000 0.5000 0.0000  4 Au 2.78, 4 Li 2.78, 4 Mg 3.10
Li 0.5000 0.0000 0.7277  2 Si 2.62, 4 Li 2.62-2.78, 2 Mg 2.78, 1 Au 2.88
Au 0.5000 0.0000 0.2711  5 Li 2.62-2.88, 2 Si 2.62, 2 Mg 2.78
Au 0.0000 0.5000 0.7289  2 Si 2.62, 5 Li 2.62-2.88, 2 Mg 2.78
Mg 0.0000 0.0000 0.0000  4 Au 2.78, 8 Li 2.78-3.10
Si 0.5000 0.5000 0.5000  4 Li 2.62, 4 Au 2.62

The total energy comes out at -24.7 eV per cell.